A plane-wave DFT calculation with PBE-GGA was carried out for BaSb3Rh3 after structural relaxation.

a = 7.2497 Å, b = 7.2497 Å, c = 9.1400 Å
α = 66.63°, β = 66.63°, γ = 60.00°
Positions (direct):
1 Ba 0.3249 0.3249 0.0252
2 Ba 0.6751 0.6751 0.9748
3 Sb 0.2156 0.6333 0.2941
4 Sb 0.8570 0.2156 0.2941
5 Sb 0.6333 0.8570 0.2941
6 Sb 0.3667 0.1430 0.7059
7 Sb 0.1430 0.7844 0.7059
8 Sb 0.7844 0.3667 0.7059
9 Rh 0.5287 0.7820 0.6146
10 Rh 0.7820 0.0747 0.6146
11 Rh 0.0747 0.5287 0.6146
12 Rh 0.9253 0.4713 0.3854
13 Rh 0.2180 0.9253 0.3854
14 Rh 0.4713 0.2180 0.3854

Output
M_tot, μB/cell: 0.0
ΔE to the lowest computed polymorph, meV per atom: 0